VASP calculation (GGA-PBE) on TbPO4 after structural relaxation.

```
data_TbPO4
_chemical_formula_sum 'Tb2 P2 O8'
_symmetry_space_group_name_H-M 'P 1'
_symmetry_Int_Tables_number 1
_symmetry_space_group_name_Hall 'P 1'
_cell_length_a 5.806
_cell_length_b 5.806
_cell_length_c 5.806
_cell_angle_alpha 105.92
_cell_angle_beta 105.92
_cell_angle_gamma 116.83
loop_
_atom_site_label
_atom_site_fract_x
_atom_site_fract_y
_atom_site_fract_z
Tb1 0.375 0.625 0.750
Tb2 0.625 0.375 0.250
P1 0.125 0.875 0.250
P2 0.875 0.125 0.750
O1 0.140 0.716 0.424
O2 0.208 0.284 0.924
O3 0.284 0.208 0.424
O4 0.284 0.860 0.076
O5 0.716 0.140 0.924
O6 0.716 0.792 0.576
O7 0.792 0.716 0.076
O8 0.860 0.284 0.576
```

Volume ... 12.40 Å³/atom
ΔE_f (raw) ... -3.0358 eV/atom
D(E_F) ... 0.0000 states/eV/atom
Space group ... I4_1/amd, No. 141
Size of the total moment ... 0.00 Bohr magnetons per cell